(1)
Entry from Alexandria: an optimized crystal structure of LaEr2Os (PBE).

Computed properties:
* crystal system: orthorhombic
* mass density: 10.0 g cm⁻³
* symmetry: Pnma, No. 62
* calculated volume: 27.49 Å³/atom
* E_form: -0.24 eV/atom

a = 7.437 Å, b = 9.172 Å, c = 6.447 Å
α = 90.00°, β = 90.00°, γ = 90.00°
Sites, in units of the cell vectors:
La 0.047 0.250 0.132
La 0.453 0.750 0.632
La 0.547 0.250 0.368
La 0.953 0.750 0.868
Er 0.172 0.066 0.663
Er 0.172 0.434 0.663
Er 0.328 0.566 0.163
Er 0.328 0.934 0.163
Er 0.672 0.066 0.837
Er 0.672 0.434 0.837
Er 0.828 0.566 0.337
Er 0.828 0.934 0.337
Os 0.122 0.750 0.449
Os 0.378 0.250 0.949
Os 0.622 0.750 0.051
Os 0.878 0.250 0.551

(2)
Entry from Alexandria: an optimized crystal structure of NiB2W2 (PBE).

Computed properties:
* crystal system: orthorhombic
* mass density: 13.4 g cm⁻³
* symmetry: Cmcm, No. 63
* calculated volume: 11.14 Å³/atom
* E_form: -0.01 eV/atom

a = 6.183 Å, b = 6.183 Å, c = 4.316 Å
α = 90.00°, β = 90.00°, γ = 137.56°
Sites, in units of the cell vectors:
Ni 0.000 0.000 0.000
Ni 0.000 0.000 0.500
B 0.181 0.396 0.750
B 0.396 0.181 0.250
B 0.604 0.819 0.750
B 0.819 0.604 0.250
W 0.218 0.782 0.750
W 0.414 0.586 0.250
W 0.586 0.414 0.750
W 0.782 0.218 0.250

(3)
Entry from Alexandria: an optimized crystal structure of AcZnSnGe (PBE).

Computed properties:
* crystal system: cubic
* mass density: 7.7 g cm⁻³
* symmetry: F-43m, No. 216
* calculated volume: 25.93 Å³/atom
* E_form: -0.25 eV/atom

a = 5.274 Å, b = 5.274 Å, c = 5.274 Å
α = 60.00°, β = 60.00°, γ = 60.00°
Sites, in units of the cell vectors:
Ac 0.000 0.000 0.000
Zn 0.250 0.250 0.250
Sn 0.500 0.500 0.500
Ge 0.750 0.750 0.750

(4)
Entry from Alexandria: an optimized crystal structure of Sc4TlBi2 (PBE).

Computed properties:
* crystal system: tetragonal
* mass density: 6.3 g cm⁻³
* symmetry: I4/mmm, No. 139
* calculated volume: 30.39 Å³/atom
* E_form: -0.02 eV/atom

a = 8.582 Å, b = 8.582 Å, c = 8.582 Å
α = 144.43°, β = 144.43°, γ = 51.19°
Sites, in units of the cell vectors:
Sc 0.000 0.500 0.500
Sc 0.179 0.179 0.000
Sc 0.500 0.000 0.500
Sc 0.821 0.821 0.000
Tl 0.000 0.000 0.000
Bi 0.366 0.366 0.000
Bi 0.634 0.634 0.000

| no. | final energy (eV for the cell shown) |
| --- | --- |
| 1 | -104.9 |
| 2 | -90.2 |
| 3 | -15.0 |
| 4 | -35.6 |